1.
First-principles (GGA+U) data for a geometry-optimized LaPWO2 structure, as listed in Alexandria via LeMat-Bulk.

Cell and atoms, written as POSCAR:
```
LaPWO2
1.0
4.129 0.000 0.000
0.000 5.087 0.000
0.000 0.000 4.129
P O W La
1 2 1 1
Cartesian
0.000 2.543 0.000 P
0.000 0.000 2.065 O
2.065 0.000 0.000 O
0.000 0.000 0.000 W
2.065 2.543 2.065 La
```

space-group type	P4/mmm, No. 123
excess energy over the best structure of this formula in the dataset	0.0000	eV/atom
crystal system	tetragonal
calculated total energy	-0.52400	Ry per atom



2.
First-principles (GGA+U) data for a geometry-optimized LaP2WO structure, as listed in Alexandria via LeMat-Bulk.

Cell and atoms, written as POSCAR:
```
LaP2WO
1.0
5.002 0.000 0.000
0.000 5.002 0.000
0.000 0.000 3.896
P O W La
2 1 1 1
Cartesian
0.000 2.501 0.000 P
2.501 0.000 0.000 P
0.000 0.000 1.948 O
0.000 0.000 0.000 W
2.501 2.501 1.948 La
```

space-group type	P4/mmm, No. 123
excess energy over the best structure of this formula in the dataset	0.0000	eV/atom
crystal system	tetragonal
calculated total energy	-0.48251	Ry per atom



3.
First-principles (GGA+U) data for a geometry-optimized LaPWO2 structure, as listed in Alexandria via LeMat-Bulk.

Cell and atoms, written as POSCAR:
```
LaPWO2
1.0
4.170 0.000 0.000
0.000 4.170 0.000
0.000 0.000 6.541
P O W La
1 2 1 1
Cartesian
0.000 0.000 3.270 P
0.000 2.085 0.000 O
2.085 0.000 0.000 O
2.085 2.085 3.270 W
0.000 0.000 0.000 La
```

space-group type	P4/mmm, No. 123
excess energy over the best structure of this formula in the dataset	1.1941	eV/atom
crystal system	tetragonal
calculated total energy	-0.43623	Ry per atom